Computed, not measured: an optimized crystal structure of Zr2ScMoC at the GGA-PBE level of DFT.

## Properties
Raw total energy ... -0.456 Ry/atom
Offset from the most stable computed form ... 2.684 eV/atom
Density ... 5.01 Mg/m³
V ... 111.2 Å³/f.u.
Energy of formation ... 2.4967 eV per atom

abc: 5.0429 4.3723 5.0429
angles: 90.00 90.00 90.00
With the nearest neighbours (Å) after each atom.
Element x y z (fractional)
Sc 0.0000 0.0000 0.0000  2 Mo 2.19
Mo 0.0000 0.5000 0.0000  2 Sc 2.19
C 0.5000 0.5000 0.5000  8 Zr 3.34, 4 Mo 3.57
Zr 0.0000 0.0000 0.5000  2 Sc 2.52
Zr 0.5000 0.0000 0.0000  2 Sc 2.52